[1]
6
Lattice="4.355 -1.964 0.000 4.355 1.964 0.000 -3.830 0.000 6.188" Properties=species:S:1:pos:R:3 comment="PBE NiTePd, optimized geometry" spacegroup="Cm (8)" formation_energy_uncorrected_ev_per_fu=-0.5 relative_energy_mev_per_atom=103 total_energy_ev_per_cell=-29.133 vol_a3_per_atom=17.6 pbc="T T T"
Ni 0.000 0.000 0.000
Ni 3.718 0.000 3.830
Te -2.279 0.000 4.299
Te 3.569 0.000 1.297
Pd 1.132 0.000 2.538
Pd 6.145 0.000 0.231


[2]
18
Lattice="-3.382 4.436 5.404 3.382 -4.436 5.404 3.382 4.436 -5.404" Properties=species:S:1:pos:R:3 comment="PBE HoAlZn6Cu, optimized geometry" spacegroup="Imma (74)" delta_e_f_mev_per_atom=16 total_energy_ev_per_cell=-39.825 vol_a3_per_atom=18.0 pbc="T T T"
Ho 0.000 2.218 2.176
Ho 3.382 2.218 3.228
Al 1.691 2.218 -2.702
Al 1.691 -2.218 2.702
Zn 2.087 0.103 1.362
Zn 4.677 0.103 1.362
Zn 3.382 -2.218 4.597
Zn 3.382 2.218 -0.108
Zn 2.087 4.539 -1.362
Zn 1.295 0.103 4.042
Zn 2.087 4.333 1.362
Zn 1.295 -0.103 6.766
Zn 0.000 2.218 5.512
Zn 0.000 6.654 0.807
Zn -1.295 4.333 4.042
Zn 1.295 4.333 4.042
Cu 0.000 0.000 0.000
Cu 0.000 4.436 0.000


[3]
4
Lattice="1.637 0.945 8.912 -1.637 0.945 8.912 0.000 -1.890 8.912" Properties=species:S:1:pos:R:3 comment="PBE Pa2VTc, optimized geometry" spacegroup="R-3m (166)" delta_e_f_mev_per_atom=335 relative_energy_mev_per_atom=220 total_energy_ev_per_cell=-37.137 vol_a3_per_atom=20.7 pbc="T T T"
Pa 0.000 0.000 6.622
Pa 0.000 0.000 20.112
V 0.000 0.000 0.000
Tc 0.000 0.000 13.367


[4]
10
Lattice="5.245 -2.971 0.000 5.245 2.971 0.000 -3.699 0.000 9.716" Properties=species:S:1:pos:R:3 comment="PBE Cs2H2Se, optimized geometry" spacegroup="C2/c (15)" relative_energy_mev_per_atom=0 total_energy_ev_per_cell=-30.405 vol_a3_per_atom=30.3 pbc="T T T"
Cs 0.687 1.566 8.491
Cs 4.254 1.566 6.084
Cs 2.537 -1.566 3.632
Cs 6.103 -1.566 1.226
H 0.976 1.225 5.043
H 2.825 -1.225 0.185
H 3.965 1.225 9.531
H 5.815 -1.225 4.673
Se 4.320 1.358 2.429
Se 2.471 -1.358 7.287